1.
# RbAgPbCl6, relaxed, DFT PBE
# * magnetization: 0.00 μB/f.u.
# * V: 308 Å³ per cell
# * formation energy from raw total energies: -0.922 eV per atom
data_RbAgPbCl6
_chemical_formula_sum 'Rb1 Ag1 Pb1 Cl6'
_cell_length_a 7.033
_cell_length_b 7.033
_cell_length_c 7.185
_cell_angle_alpha 90.01
_cell_angle_beta 90.00
_cell_angle_gamma 59.99
_space_group_name_H-M_alt 'P 1'
_space_group_IT_number 1
loop_
_space_group_symop_operation_xyz
'x,y,z'
loop_
_atom_site_label
_atom_site_fract_x
_atom_site_fract_y
_atom_site_fract_z
Rb1 0.000 0.000 0.000
Ag1 0.667 0.667 0.500
Pb1 0.333 0.333 0.500
Cl1 0.020 0.362 0.292
Cl2 0.362 0.020 0.708
Cl3 0.618 0.361 0.708
Cl4 0.020 0.618 0.708
Cl5 0.361 0.618 0.292
Cl6 0.618 0.020 0.292

2.
# Mg5CuAg2, relaxed, DFT PBE
# * magnetization: 0.00 μB/f.u.
# * V: 301 Å³ per cell
# * ΔE_f: -0.14 eV/atom
data_Mg5CuAg2
_chemical_formula_sum 'Mg10 Cu2 Ag4'
_cell_length_a 4.616
_cell_length_b 5.872
_cell_length_c 11.096
_cell_angle_alpha 90.00
_cell_angle_beta 90.00
_cell_angle_gamma 90.00
_space_group_name_H-M_alt 'P 1'
_space_group_IT_number 1
loop_
_space_group_symop_operation_xyz
'x,y,z'
loop_
_atom_site_label
_atom_site_fract_x
_atom_site_fract_y
_atom_site_fract_z
Mg1 0.500 0.343 0.108
Mg2 0.500 0.657 0.892
Mg3 0.500 0.843 0.392
Mg4 0.500 0.157 0.608
Mg5 0.000 0.874 0.731
Mg6 0.000 0.126 0.269
Mg7 0.000 0.374 0.769
Mg8 0.000 0.626 0.231
Mg9 0.000 0.500 0.500
Mg10 0.000 0.000 0.000
Cu1 0.000 0.000 0.500
Cu2 0.000 0.500 0.000
Ag1 0.500 0.357 0.368
Ag2 0.500 0.643 0.632
Ag3 0.500 0.143 0.868
Ag4 0.500 0.857 0.132

3.
# Ta2VGeH, relaxed, DFT PBE
# * calculated total energy: -41.50 eV for the cell shown
# * magnetization: 0.00 μB/f.u.
# * V: 66 Å³ per cell
data_Ta2VGeH
_chemical_formula_sum 'Ta2 V1 Ge1 H1'
_cell_length_a 4.133
_cell_length_b 4.133
_cell_length_c 3.881
_cell_angle_alpha 90.00
_cell_angle_beta 90.00
_cell_angle_gamma 90.00
_space_group_name_H-M_alt 'P 1'
_space_group_IT_number 1
loop_
_space_group_symop_operation_xyz
'x,y,z'
loop_
_atom_site_label
_atom_site_fract_x
_atom_site_fract_y
_atom_site_fract_z
H1 0.000 0.000 0.000
Ge1 0.500 0.500 0.500
V1 0.000 0.000 0.500
Ta1 0.000 0.500 0.000
Ta2 0.500 0.000 0.000

4.
# Mg5AlHg3, relaxed, DFT PBE
# * magnetization: 0.00 μB/f.u.
# * V: 382 Å³ per cell
# * ΔE_f: -0.14 eV/atom
data_Mg5AlHg3
_chemical_formula_sum 'Mg10 Al2 Hg6'
_cell_length_a 6.044
_cell_length_b 8.540
_cell_length_c 8.540
_cell_angle_alpha 120.00
_cell_angle_beta 90.00
_cell_angle_gamma 90.00
_space_group_name_H-M_alt 'P 1'
_space_group_IT_number 1
loop_
_space_group_symop_operation_xyz
'x,y,z'
loop_
_atom_site_label
_atom_site_fract_x
_atom_site_fract_y
_atom_site_fract_z
Mg1 0.000 0.667 0.333
Mg2 0.500 0.333 0.667
Mg3 0.000 0.333 0.667
Mg4 0.500 0.667 0.333
Mg5 0.750 0.696 0.696
Mg6 0.750 0.000 0.304
Mg7 0.750 0.304 0.000
Mg8 0.250 0.304 0.304
Mg9 0.250 0.000 0.696
Mg10 0.250 0.696 0.000
Al1 0.000 0.000 0.000
Al2 0.500 0.000 0.000
Hg1 0.750 0.363 0.363
Hg2 0.750 0.000 0.637
Hg3 0.750 0.637 0.000
Hg4 0.250 0.637 0.637
Hg5 0.250 0.000 0.363
Hg6 0.250 0.363 0.000

5.
# BaHg4Cl, relaxed, DFT PBE
# * magnetization: 0.00 μB/f.u.
# * V: 183 Å³ per cell
# * formation energy from raw total energies: -0.547 eV per atom
data_BaHg4Cl
_chemical_formula_sum 'Ba1 Hg4 Cl1'
_cell_length_a 6.368
_cell_length_b 6.368
_cell_length_c 6.368
_cell_angle_alpha 60.00
_cell_angle_beta 60.00
_cell_angle_gamma 60.00
_space_group_name_H-M_alt 'P 1'
_space_group_IT_number 1
loop_
_space_group_symop_operation_xyz
'x,y,z'
loop_
_atom_site_label
_atom_site_fract_x
_atom_site_fract_y
_atom_site_fract_z
Ba1 0.750 0.750 0.750
Hg1 0.374 0.879 0.374
Hg2 0.879 0.374 0.374
Hg3 0.374 0.374 0.879
Hg4 0.374 0.374 0.374
Cl1 0.000 0.000 0.000

6.
# Sm6AgIr2, relaxed, DFT PBE
# * magnetization: 0.00 μB/f.u.
# * V: 518 Å³ per cell
# * ΔE_f: -0.36 eV/atom
data_Sm6AgIr2
_chemical_formula_sum 'Sm12 Ag2 Ir4'
_cell_length_a 6.810
_cell_length_b 7.301
_cell_length_c 10.473
_cell_angle_alpha 90.00
_cell_angle_beta 95.59
_cell_angle_gamma 90.00
_space_group_name_H-M_alt 'P 1'
_space_group_IT_number 1
loop_
_space_group_symop_operation_xyz
'x,y,z'
loop_
_atom_site_label
_atom_site_fract_x
_atom_site_fract_y
_atom_site_fract_z
Sm1 0.824 0.948 0.234
Sm2 0.812 0.659 0.590
Sm3 0.849 0.684 0.927
Sm4 0.651 0.184 0.573
Sm5 0.688 0.159 0.910
Sm6 0.676 0.448 0.266
Sm7 0.176 0.052 0.766
Sm8 0.188 0.341 0.410
Sm9 0.151 0.316 0.073
Sm10 0.349 0.816 0.427
Sm11 0.312 0.841 0.090
Sm12 0.324 0.552 0.734
Ag1 0.500 0.500 0.000
Ag2 0.000 0.000 0.500
Ir1 0.951 0.380 0.779
Ir2 0.549 0.880 0.721
Ir3 0.451 0.120 0.279
Ir4 0.049 0.620 0.221

7.
# CrPtAu3, relaxed, DFT PBE
# * magnetization: 4.75 μB/f.u.
# * V: 129 Å³ per cell
# * ΔE_f: 0.93 eV/atom
data_CrPtAu3
_chemical_formula_sum 'Cr1 Pt1 Au3'
_cell_length_a 5.059
_cell_length_b 5.059
_cell_length_c 5.059
_cell_angle_alpha 90.00
_cell_angle_beta 90.00
_cell_angle_gamma 90.00
_space_group_name_H-M_alt 'P 1'
_space_group_IT_number 1
loop_
_space_group_symop_operation_xyz
'x,y,z'
loop_
_atom_site_label
_atom_site_fract_x
_atom_site_fract_y
_atom_site_fract_z
Cr1 0.500 0.500 0.500
Au1 0.000 0.500 0.000
Au2 0.000 0.000 0.500
Au3 0.500 0.000 0.000
Pt1 0.000 0.000 0.000

8.
# NpSiNi, relaxed, DFT PBE
# * magnetization: 2.65 μB/f.u.
# * V: 186 Å³ per cell
# * formation energy from raw total energies: -0.306 eV per atom
data_NpSiNi
_chemical_formula_sum 'Np4 Si4 Ni4'
_cell_length_a 6.787
_cell_length_b 4.979
_cell_length_c 6.108
_cell_angle_alpha 64.61
_cell_angle_beta 90.00
_cell_angle_gamma 90.00
_space_group_name_H-M_alt 'P 1'
_space_group_IT_number 1
loop_
_space_group_symop_operation_xyz
'x,y,z'
loop_
_atom_site_label
_atom_site_fract_x
_atom_site_fract_y
_atom_site_fract_z
Si1 0.499 0.097 0.663
Si2 0.999 0.403 0.337
Si3 0.501 0.903 0.337
Si4 0.001 0.597 0.663
Np1 0.160 0.065 0.061
Np2 0.340 0.565 0.061
Np3 0.840 0.935 0.939
Np4 0.660 0.435 0.939
Ni1 0.200 0.008 0.552
Ni2 0.300 0.508 0.552
Ni3 0.800 0.992 0.448
Ni4 0.700 0.492 0.448

9.
# HoTm6Pu, relaxed, DFT PBE
# * magnetization: 6.81 μB/f.u.
# * V: 240 Å³ per cell
# * ΔE_f: 0.05 eV/atom
data_HoTm6Pu
_chemical_formula_sum 'Ho1 Tm6 Pu1'
_cell_length_a 5.572
_cell_length_b 7.050
_cell_length_c 7.050
_cell_angle_alpha 120.00
_cell_angle_beta 90.00
_cell_angle_gamma 90.00
_space_group_name_H-M_alt 'P 1'
_space_group_IT_number 1
loop_
_space_group_symop_operation_xyz
'x,y,z'
loop_
_atom_site_label
_atom_site_fract_x
_atom_site_fract_y
_atom_site_fract_z
Ho1 0.000 0.831 0.662
Tm1 0.000 0.831 0.169
Tm2 0.000 0.337 0.169
Tm3 0.000 0.333 0.667
Tm4 0.500 0.668 0.835
Tm5 0.500 0.166 0.835
Tm6 0.500 0.166 0.332
Pu1 0.500 0.666 0.333

10.
# Li5Sn2Hg, relaxed, DFT PBE
# * magnetization: 0.00 μB/f.u.
# * V: 151 Å³ per cell
# * ΔE_f: -0.33 eV/atom
data_Li5Sn2Hg
_chemical_formula_sum 'Li5 Sn2 Hg1'
_cell_length_a 4.641
_cell_length_b 4.641
_cell_length_c 7.754
_cell_angle_alpha 107.41
_cell_angle_beta 107.41
_cell_angle_gamma 90.00
_space_group_name_H-M_alt 'P 1'
_space_group_IT_number 1
loop_
_space_group_symop_operation_xyz
'x,y,z'
loop_
_atom_site_label
_atom_site_fract_x
_atom_site_fract_y
_atom_site_fract_z
Li1 0.500 0.500 0.000
Li2 0.878 0.378 0.757
Li3 0.378 0.878 0.757
Li4 0.122 0.622 0.243
Li5 0.622 0.122 0.243
Sn1 0.745 0.745 0.490
Sn2 0.255 0.255 0.510
Hg1 0.000 0.000 0.000

11.
# CaRhAu2, relaxed, DFT PBE
# * magnetization: 0.00 μB/f.u.
# * V: 76 Å³ per cell
# * ΔE_f: -0.27 eV/atom
data_CaRhAu2
_chemical_formula_sum 'Ca1 Rh1 Au2'
_cell_length_a 4.749
_cell_length_b 4.749
_cell_length_c 4.749
_cell_angle_alpha 60.00
_cell_angle_beta 60.00
_cell_angle_gamma 60.00
_space_group_name_H-M_alt 'P 1'
_space_group_IT_number 1
loop_
_space_group_symop_operation_xyz
'x,y,z'
loop_
_atom_site_label
_atom_site_fract_x
_atom_site_fract_y
_atom_site_fract_z
Rh1 0.750 0.750 0.750
Ca1 0.500 0.500 0.500
Au1 0.000 0.000 0.000
Au2 0.250 0.250 0.250

12.
# Ac2In3GePt4, relaxed, DFT PBE
# * magnetization: 0.00 μB/f.u.
# * V: 233 Å³ per cell
# * ΔE_f: -0.77 eV/atom
data_Ac2In3GePt4
_chemical_formula_sum 'Ac2 In3 Ge1 Pt4'
_cell_length_a 4.650
_cell_length_b 4.650
_cell_length_c 10.783
_cell_angle_alpha 90.00
_cell_angle_beta 90.00
_cell_angle_gamma 90.00
_space_group_name_H-M_alt 'P 1'
_space_group_IT_number 1
loop_
_space_group_symop_operation_xyz
'x,y,z'
loop_
_atom_site_label
_atom_site_fract_x
_atom_site_fract_y
_atom_site_fract_z
Ac1 0.500 0.000 0.252
Ac2 0.000 0.500 0.748
In1 0.000 0.000 0.500
In2 0.500 0.000 0.871
In3 0.000 0.500 0.129
Ge1 0.500 0.500 0.500
Pt1 0.500 0.500 0.000
Pt2 0.000 0.000 0.000
Pt3 0.500 0.000 0.623
Pt4 0.000 0.500 0.377

13.
# Pa2NbB, relaxed, DFT PBE
# * magnetization: 0.00 μB/f.u.
# * V: 78 Å³ per cell
# * ΔE_f: 0.51 eV/atom
data_Pa2NbB
_chemical_formula_sum 'Pa2 Nb1 B1'
_cell_length_a 4.798
_cell_length_b 4.798
_cell_length_c 4.802
_cell_angle_alpha 60.03
_cell_angle_beta 60.03
_cell_angle_gamma 60.00
_space_group_name_H-M_alt 'P 1'
_space_group_IT_number 1
loop_
_space_group_symop_operation_xyz
'x,y,z'
loop_
_atom_site_label
_atom_site_fract_x
_atom_site_fract_y
_atom_site_fract_z
Nb1 0.000 0.000 0.000
Pa1 0.250 0.250 0.250
Pa2 0.750 0.750 0.750
B1 0.500 0.500 0.500

14.
# ReSiOs, relaxed, DFT PBE
# * magnetization: 0.00 μB/f.u.
# * V: 42 Å³ per cell
# * formation energy from raw total energies: -0.050 eV per atom
data_ReSiOs
_chemical_formula_sum 'Re1 Si1 Os1'
_cell_length_a 2.785
_cell_length_b 2.785
_cell_length_c 6.260
_cell_angle_alpha 90.00
_cell_angle_beta 90.00
_cell_angle_gamma 120.00
_space_group_name_H-M_alt 'P 1'
_space_group_IT_number 1
loop_
_space_group_symop_operation_xyz
'x,y,z'
loop_
_atom_site_label
_atom_site_fract_x
_atom_site_fract_y
_atom_site_fract_z
Os1 0.000 0.000 0.992
Re1 0.333 0.667 0.337
Si1 0.667 0.333 0.671

15.
# RuBr4Cl, relaxed, DFT PBE
# * magnetization: 3.27 μB/f.u.
# * V: 158 Å³ per cell
# * formation energy from raw total energies: 1.085 eV per atom
data_RuBr4Cl
_chemical_formula_sum 'Ru1 Br4 Cl1'
_cell_length_a 6.066
_cell_length_b 6.066
_cell_length_c 6.066
_cell_angle_alpha 60.00
_cell_angle_beta 60.00
_cell_angle_gamma 60.00
_space_group_name_H-M_alt 'P 1'
_space_group_IT_number 1
loop_
_space_group_symop_operation_xyz
'x,y,z'
loop_
_atom_site_label
_atom_site_fract_x
_atom_site_fract_y
_atom_site_fract_z
Ru1 0.000 0.000 0.000
Br1 0.874 0.375 0.375
Br2 0.375 0.375 0.874
Br3 0.375 0.874 0.375
Br4 0.375 0.375 0.375
Cl1 0.750 0.750 0.750

16.
# CaZn9Ir2, relaxed, DFT PBE
# * magnetization: 0.00 μB/f.u.
# * V: 392 Å³ per cell
# * ΔE_f: -0.24 eV/atom
data_CaZn9Ir2
_chemical_formula_sum 'Ca2 Zn18 Ir4'
_cell_length_a 7.001
_cell_length_b 8.261
_cell_length_c 8.261
_cell_angle_alpha 79.66
_cell_angle_beta 64.93
_cell_angle_gamma 64.93
_space_group_name_H-M_alt 'P 1'
_space_group_IT_number 1
loop_
_space_group_symop_operation_xyz
'x,y,z'
loop_
_atom_site_label
_atom_site_fract_x
_atom_site_fract_y
_atom_site_fract_z
Ca1 0.500 0.000 0.000
Ca2 0.250 0.500 0.500
Zn1 0.750 0.500 0.500
Zn2 0.000 0.000 0.000
Zn3 0.016 0.914 0.670
Zn4 0.600 0.086 0.330
Zn5 0.679 0.170 0.586
Zn6 0.436 0.830 0.414
Zn7 0.734 0.830 0.586
Zn8 0.150 0.170 0.414
Zn9 0.071 0.914 0.330
Zn10 0.314 0.086 0.670
Zn11 0.734 0.586 0.830
Zn12 0.150 0.414 0.170
Zn13 0.071 0.330 0.914
Zn14 0.314 0.670 0.086
Zn15 0.016 0.670 0.914
Zn16 0.600 0.330 0.086
Zn17 0.679 0.586 0.170
Zn18 0.436 0.414 0.830
Ir1 0.875 0.250 0.750
Ir2 0.875 0.750 0.250
Ir3 0.875 0.250 0.250
Ir4 0.375 0.750 0.750

17.
# ScTe3H, relaxed, DFT PBE
# * calculated total energy: -17.97 eV for the cell shown
# * magnetization: 0.98 μB/f.u.
# * V: 172 Å³ per cell
data_ScTe3H
_chemical_formula_sum 'Sc1 Te3 H1'
_cell_length_a 5.565
_cell_length_b 5.565
_cell_length_c 5.565
_cell_angle_alpha 90.00
_cell_angle_beta 90.00
_cell_angle_gamma 90.00
_space_group_name_H-M_alt 'P 1'
_space_group_IT_number 1
loop_
_space_group_symop_operation_xyz
'x,y,z'
loop_
_atom_site_label
_atom_site_fract_x
_atom_site_fract_y
_atom_site_fract_z
Sc1 0.000 0.000 0.000
H1 0.500 0.500 0.500
Te1 0.000 0.500 0.000
Te2 0.000 0.000 0.500
Te3 0.500 0.000 0.000

18.
# LiDy2Pd4, relaxed, DFT PBE
# * magnetization: 0.00 μB/f.u.
# * V: 144 Å³ per cell
# * ΔE_f: -0.58 eV/atom
data_LiDy2Pd4
_chemical_formula_sum 'Li1 Dy2 Pd4'
_cell_length_a 6.091
_cell_length_b 6.091
_cell_length_c 5.809
_cell_angle_alpha 121.67
_cell_angle_beta 121.67
_cell_angle_gamma 89.92
_space_group_name_H-M_alt 'P 1'
_space_group_IT_number 1
loop_
_space_group_symop_operation_xyz
'x,y,z'
loop_
_atom_site_label
_atom_site_fract_x
_atom_site_fract_y
_atom_site_fract_z
Li1 0.000 0.000 0.000
Dy1 0.750 0.250 0.500
Dy2 0.250 0.750 0.500
Pd1 0.722 0.279 0.000
Pd2 0.279 0.721 0.000
Pd3 0.278 0.278 0.000
Pd4 0.722 0.722 0.000

19.
# BeTl2Cr, relaxed, DFT PBE
# * magnetization: 4.20 μB/f.u.
# * V: 82 Å³ per cell
# * ΔE_f: 0.75 eV/atom
data_BeTl2Cr
_chemical_formula_sum 'Be1 Tl2 Cr1'
_cell_length_a 5.374
_cell_length_b 5.374
_cell_length_c 5.374
_cell_angle_alpha 141.01
_cell_angle_beta 120.53
_cell_angle_gamma 73.42
_space_group_name_H-M_alt 'P 1'
_space_group_IT_number 1
loop_
_space_group_symop_operation_xyz
'x,y,z'
loop_
_atom_site_label
_atom_site_fract_x
_atom_site_fract_y
_atom_site_fract_z
Cr1 0.750 0.250 0.500
Tl1 0.024 0.024 0.000
Tl2 0.476 0.476 0.000
Be1 0.250 0.750 0.500

20.
# Pr2Y2HoTm2, relaxed, DFT PBE
# * magnetization: 0.00 μB/f.u.
# * V: 232 Å³ per cell
# * ΔE_f: 0.09 eV/atom
data_Pr2Y2HoTm2
_chemical_formula_sum 'Pr2 Y2 Ho1 Tm2'
_cell_length_a 3.517
_cell_length_b 6.137
_cell_length_c 11.837
_cell_angle_alpha 71.99
_cell_angle_beta 90.00
_cell_angle_gamma 106.65
_space_group_name_H-M_alt 'P 1'
_space_group_IT_number 1
loop_
_space_group_symop_operation_xyz
'x,y,z'
loop_
_atom_site_label
_atom_site_fract_x
_atom_site_fract_y
_atom_site_fract_z
Pr1 0.672 0.344 0.914
Pr2 0.328 0.656 0.086
Y1 0.452 0.905 0.768
Y2 0.548 0.095 0.232
Ho1 0.000 0.000 0.500
Tm1 0.771 0.542 0.367
Tm2 0.229 0.458 0.633